Entry 1:
# RbCaP2Pt4 PBE relaxed
# E_form: -5.34 eV per formula unit
data_RbCaP2Pt4
_cell_length_a 4.095
_cell_length_b 4.095
_cell_length_c 11.008
_cell_angle_alpha 90.00
_cell_angle_beta 90.00
_cell_angle_gamma 90.00
_symmetry_space_group_name_H-M 'P 4/m m m'
_symmetry_Int_Tables_number 123
_symmetry_space_group_name_Hall '-P 4 2'
loop_
_atom_site_label
_atom_site_type_symbol
_atom_site_fract_x
_atom_site_fract_y
_atom_site_fract_z
Rb1 Rb 0.000 0.000 0.000
Ca1 Ca 0.000 0.000 0.500
P1 P 0.500 0.500 0.198
Pt1 Pt 0.000 0.500 0.295

=====

Entry 2:
# CaP2PtRh2 PBE relaxed
# E_form: -4.10 eV per formula unit
data_CaP2PtRh2
_cell_length_a 5.170
_cell_length_b 11.570
_cell_length_c 3.926
_cell_angle_alpha 90.00
_cell_angle_beta 90.00
_cell_angle_gamma 90.00
_symmetry_space_group_name_H-M 'P n n m'
_symmetry_Int_Tables_number 58
_symmetry_space_group_name_Hall '-P 2 2n'
loop_
_atom_site_label
_atom_site_type_symbol
_atom_site_fract_x
_atom_site_fract_y
_atom_site_fract_z
Ca1 Ca 0.000 0.000 0.000
P1 P 0.176 0.317 0.000
Pt1 Pt 0.000 0.500 0.000
Rh1 Rh 0.044 0.674 0.500

=====

Entry 3:
# CaP2PtS PBE relaxed
# raw formation energy: -111.6 meV/atom
data_CaP2PtS
_cell_length_a 4.603
_cell_length_b 4.603
_cell_length_c 5.291
_cell_angle_alpha 90.00
_cell_angle_beta 90.00
_cell_angle_gamma 90.00
_symmetry_space_group_name_H-M 'P 4/m m m'
_symmetry_Int_Tables_number 123
_symmetry_space_group_name_Hall '-P 4 2'
loop_
_atom_site_label
_atom_site_type_symbol
_atom_site_fract_x
_atom_site_fract_y
_atom_site_fract_z
Ca1 Ca 0.000 0.000 0.000
P1 P 0.000 0.500 0.500
Pt1 Pt 0.500 0.500 0.500
S1 S 0.500 0.500 0.000